1.
A plane-wave DFT calculation with PBE-GGA was carried out for a geometry-optimized Cs2CaTaBr6 structure.

Output
V: 35.00 A^3/atom
Raw formation energy: -1.333 eV per atom
M_tot: 3.0 μB/f.u.
Theoretical density: 4.6 g/cm³

a b c (Å): 11.1864 11.1864 11.1864
angles (deg): 90.00 90.00 90.00
Space group Fm-3m (No. 225)
Inequivalent atoms, fractional coordinates:
Cs (0.2500, 0.2500, 0.2500) (multiplicity 8)
Ca (0.0000, 0.0000, 0.0000) (multiplicity 4)
Ta (0.0000, 0.0000, 0.5000) (multiplicity 4)
Br (0.0000, 0.0000, 0.2582) (multiplicity 24)

---

2.
A plane-wave DFT calculation with PBE-GGA was carried out for a geometry-optimized CsCa2TbBr8 structure.

Output
V: 37.94 A^3/atom
Raw formation energy: -1.886 eV per atom
M_tot: 0.0 μB/f.u.
Theoretical density: 3.7 g/cm³

a b c (Å): 6.8393 7.1082 9.3676
angles (deg): 89.94 89.91 88.93
Space group P-1 (No. 2)
Inequivalent atoms, fractional coordinates:
Cs (0.0000, 0.0000, 0.0000) (multiplicity 1)
Ca (0.4999, 0.5000, 0.2476) (multiplicity 2)
Tb (0.0000, 0.0000, 0.5000) (multiplicity 1)
Br (0.2472, 0.8305, 0.7036) (multiplicity 2)
Br (0.2479, 0.8314, 0.2960) (multiplicity 2)
Br (0.2582, 0.3237, 0.5001) (multiplicity 2)
Br (0.2696, 0.3990, 0.0004) (multiplicity 2)

---

3.
A plane-wave DFT calculation with PBE-GGA was carried out for a geometry-optimized CsCaTc2Br structure.

Output
V: 26.08 A^3/atom
Raw formation energy: 1.204 eV per atom
M_tot: 2.0 μB/f.u.
Theoretical density: 5.7 g/cm³

a b c (Å): 4.8362 4.8362 5.5758
angles (deg): 90.00 90.00 90.00
Space group P4/mmm (No. 123)
Inequivalent atoms, fractional coordinates:
Cs (0.0000, 0.0000, 0.0000) (multiplicity 1)
Ca (0.5000, 0.5000, 0.0000) (multiplicity 1)
Tc (0.0000, 0.5000, 0.5000) (multiplicity 2)
Br (0.5000, 0.5000, 0.5000) (multiplicity 1)

---

Q: The highest V belongs to which entry?
A: CsCa2TbBr8

---

Q: What is the theoretical density in the third record?
A: 5.7 g/cm³

---

Q: Which of these has the highest V?
A: CsCa2TbBr8

---

Q: Which value of V does entry 1 give?
A: 35.00 A^3/atom